DFT (PBE with a Hubbard U) results for a relaxed CrReBiO6 crystal.

abc: 4.867 4.867 9.683
angles: 90.00 90.00 90.00
Fractional coordinates of all 18 atoms:
Cr1 0.000 0.000 0.000
Cr2 0.500 0.500 0.500
Re1 0.000 0.000 0.668
Re2 0.500 0.500 0.168
Bi1 0.000 0.000 0.335
Bi2 0.500 0.500 0.835
O1 0.172 0.172 0.830
O2 0.202 0.202 0.522
O3 0.224 0.224 0.150
O4 0.276 0.724 0.650
O5 0.298 0.702 0.022
O6 0.328 0.672 0.330
O7 0.672 0.328 0.330
O8 0.702 0.298 0.022
O9 0.724 0.276 0.650
O10 0.776 0.776 0.150
O11 0.798 0.798 0.522
O12 0.828 0.828 0.830

DFT total energy: -7.44 eV/atom
volume: 12.74 A^3/atom
size of the total moment: 8.08 Bohr magnetons per cell